No. 1
The following is a DFT calculation (PBE-GGA) of a relaxed CdSnPb crystal.

Cell: 12.7545 3.2008 9.3689 Å, 90.00 116.62 90.00°
Fractional coordinates of all 12 atoms:
1 Cd 0.1288 0.0000 0.3441
2 Cd 0.3712 0.5000 0.6559
3 Cd 0.6288 0.5000 0.3441
4 Cd 0.8712 0.0000 0.6559
5 Sn 0.1222 0.5000 0.6497
6 Sn 0.3778 0.0000 0.3503
7 Sn 0.6222 0.0000 0.6497
8 Sn 0.8778 0.5000 0.3503
9 Pb 0.1239 0.0000 0.9842
10 Pb 0.3761 0.5000 0.0158
11 Pb 0.6239 0.5000 0.9842
12 Pb 0.8761 0.0000 0.0158

## Properties
Excess energy over the best structure of this formula in the dataset: 0.087 eV/f.u.
Crystal system: monoclinic
Theoretical density: 8.51 g cm⁻³

***

No. 2
The following is a DFT calculation (PBE-GGA) of a relaxed La2BiPt2 crystal.

Cell: 8.1083 8.1083 3.9107 Å, 90.00 90.00 90.00°
Fractional coordinates of all 10 atoms:
1 La 0.1749 0.3251 0.0000
2 La 0.3251 0.8251 0.0000
3 La 0.6749 0.1749 0.0000
4 La 0.8251 0.6749 0.0000
5 Bi 0.0000 0.0000 0.5000
6 Bi 0.5000 0.5000 0.5000
7 Pt 0.1242 0.6242 0.5000
8 Pt 0.3758 0.1242 0.5000
9 Pt 0.6242 0.8758 0.5000
10 Pt 0.8758 0.3758 0.5000

## Properties
Excess energy over the best structure of this formula in the dataset: 0.000 eV/f.u.
Crystal system: tetragonal
Theoretical density: 11.33 g cm⁻³

***

No. 3
The following is a DFT calculation (PBE-GGA) of a relaxed Bi13O20 crystal.

Cell: 9.0463 9.0463 9.0463 Å, 109.47 109.47 109.47°
Fractional coordinates of all 33 atoms:
1 Bi 0.0000 0.0000 0.0000
2 Bi 0.1435 0.3368 0.8380
3 Bi 0.1620 0.4988 0.3055
4 Bi 0.1934 0.8565 0.6945
5 Bi 0.3055 0.1620 0.4988
6 Bi 0.3368 0.8380 0.1435
7 Bi 0.4988 0.3055 0.1620
8 Bi 0.5012 0.6632 0.8066
9 Bi 0.6632 0.8066 0.5012
10 Bi 0.6945 0.1934 0.8565
11 Bi 0.8066 0.5012 0.6632
12 Bi 0.8380 0.1435 0.3368
13 Bi 0.8565 0.6945 0.1934
14 O 0.0000 0.0000 0.3729
15 O 0.0000 0.0000 0.7609
16 O 0.0000 0.3729 0.0000
17 O 0.0000 0.7609 0.0000
18 O 0.1094 0.7342 0.3624
19 O 0.2391 0.2391 0.2391
20 O 0.2530 0.6248 0.8906
21 O 0.2658 0.3752 0.6283
22 O 0.3624 0.1094 0.7342
23 O 0.3717 0.7470 0.6376
24 O 0.3729 0.0000 0.0000
25 O 0.3752 0.6283 0.2658
26 O 0.6248 0.8906 0.2530
27 O 0.6271 0.6271 0.6271
28 O 0.6283 0.2658 0.3752
29 O 0.6376 0.3717 0.7470
30 O 0.7342 0.3624 0.1094
31 O 0.7470 0.6376 0.3717
32 O 0.7609 0.0000 0.0000
33 O 0.8906 0.2530 0.6248

## Properties
Crystal system: cubic
Theoretical density: 8.85 g cm⁻³
Uncorrected formation energy: -1175 meV per atom

***

Number 1: total DFT energy (no corrections) -2.791 eV per atom, total magnetization 0.000 μB per formula unit, N(E_F) 0.342 states/eV per atom. Number 2: total DFT energy (no corrections) -6.272 eV per atom, total magnetization 0.000 μB per formula unit, N(E_F) 0.587 states/eV per atom. Number 3: total DFT energy (no corrections) -5.709 eV per atom, total magnetization 1.032 μB per formula unit, N(E_F) 0.018 states/eV per atom.